# 1
This record from the Open Quantum Materials Database describes NbTe2Au3Se2 after structural relaxation. The functional is GGA-PBE.

a b c (Å): 6.1434 6.1434 6.1253
angles (deg): 90.00 90.00 92.13
With the nearest neighbours (Å) after each atom.
Fractional positions:
Nb 0.0000 0.0000 0.0000  2 Se 2.51, 2 Te 2.78
Te 0.2664 0.2664 0.7392  3 Au 2.69-2.70, 1 Nb 2.78
Te 0.7336 0.7336 0.7392  3 Au 2.69-2.70, 1 Nb 2.78
Au 0.0000 0.0000 0.5034  2 Se 2.62, 2 Te 2.69
Au 0.0000 0.5000 0.9921  2 Se 2.61, 2 Te 2.70
Au 0.5000 0.0000 0.9921  2 Se 2.61, 2 Te 2.70
Se 0.2315 0.7685 0.2361  1 Nb 2.51, 3 Au 2.61-2.62
Se 0.7685 0.2315 0.2361  1 Nb 2.51, 3 Au 2.61-2.62

Properties
Its space group is Cmm2 (35). The value obtained for the electronic total energy is -35.7 eV for the cell shown.



# 2
This record from the Open Quantum Materials Database describes NbTlTeAuSe2 after structural relaxation. The functional is GGA-PBE.

a b c (Å): 8.3039 8.3039 10.4683
angles (deg): 90.00 90.00 154.70
With the nearest neighbours (Å) after each atom.
Fractional positions:
Nb 0.0000 0.0000 0.0000  4 Se 2.67, 2 Te 2.97
Nb 0.0000 0.0000 0.5000  4 Se 2.67, 2 Te 2.97
Tl 0.2259 0.7741 0.7500  4 Se 3.39, 2 Au 3.40, 2 Te 3.55, 2 Tl 3.64
Tl 0.7741 0.2259 0.2500  4 Se 3.39, 2 Au 3.40, 2 Te 3.55, 2 Tl 3.64
Te 0.0862 0.9138 0.2500  2 Au 2.84, 2 Nb 2.97
Te 0.9138 0.0862 0.7500  2 Au 2.84, 2 Nb 2.97
Au 0.4513 0.5487 0.2500  2 Se 2.54
Au 0.5487 0.4513 0.7500  2 Se 2.54
Se 0.3816 0.6184 0.0329  1 Au 2.54, 2 Nb 2.67
Se 0.3816 0.6184 0.4671  1 Au 2.54, 2 Nb 2.67
Se 0.6184 0.3816 0.5329  1 Au 2.54, 2 Nb 2.67
Se 0.6184 0.3816 0.9671  1 Au 2.54, 2 Nb 2.67

Properties
Its space group is Cmcm (63). The value obtained for the electronic total energy is -55.6 eV for the cell shown.



# 3
This record from the Open Quantum Materials Database describes Nb2SiAu after structural relaxation. The functional is GGA-PBE.

a b c (Å): 4.5828 4.5828 4.5828
angles (deg): 60.00 60.00 60.00
With the nearest neighbours (Å) after each atom.
Fractional positions:
Nb 0.0000 0.0000 0.0000  4 Au 2.81, 4 Nb 2.81
Nb 0.2500 0.2500 0.2500  4 Nb 2.81, 4 Si 2.81
Si 0.5000 0.5000 0.5000  4 Au 2.81, 4 Nb 2.81
Au 0.7500 0.7500 0.7500  4 Nb 2.81, 4 Si 2.81

Properties
Its space group is F-43m (216). The value obtained for the electronic total energy is -28.0 eV for the cell shown.



# 4
This record from the Open Quantum Materials Database describes NbSiAu after structural relaxation. The functional is GGA-PBE.

a b c (Å): 4.2559 4.2559 4.2559
angles (deg): 60.00 60.00 60.00
With the nearest neighbours (Å) after each atom.
Fractional positions:
Nb 0.0000 0.0000 0.0000  4 Si 2.61
Si 0.7500 0.7500 0.7500  4 Au 2.61, 4 Nb 2.61
Au 0.5000 0.5000 0.5000  4 Si 2.61

Properties
Its space group is F-43m (216). The value obtained for the electronic total energy is -18.8 eV for the cell shown.



Look up the electronic total energy of the fourth one. -18.8 eV for the cell shown